#A
{"formula": "Mg6FeCO8", "functional": "GGA+U", "state": "optimized geometry", "crystal_system": "tetragonal", "space_group": "P4/mmm, No. 123", "cell": [[4.253, 0.000, 0.000], [0.000, 4.253, 0.000], [0.000, 0.000, 8.495]], "species": ["Mg", "Mg", "Mg", "Mg", "Mg", "Mg", "Fe", "C", "O", "O", "O", "O", "O", "O", "O", "O"], "fractional_positions": [[0.000, 0.000, 0.000], [0.000, 0.000, 0.500], [0.000, 0.500, 0.246], [0.000, 0.500, 0.754], [0.500, 0.000, 0.246], [0.500, 0.000, 0.754], [0.500, 0.500, 0.500], [0.500, 0.500, 0.000], [0.000, 0.000, 0.248], [0.000, 0.000, 0.752], [0.000, 0.500, 0.000], [0.000, 0.500, 0.500], [0.500, 0.000, 0.000], [0.500, 0.000, 0.500], [0.500, 0.500, 0.248], [0.500, 0.500, 0.752]]}

=====

#B
{"formula": "Mg6FeCO8", "functional": "GGA+U", "state": "optimized geometry", "n_ef_per_ev_fu": 4.53, "crystal_system": "tetragonal", "space_group": "P4/mmm, No. 123", "cell": [[4.235, 0.000, 0.000], [0.000, 4.235, 0.000], [0.000, 0.000, 8.557]], "species": ["Mg", "Mg", "Mg", "Mg", "Mg", "Mg", "Fe", "C", "O", "O", "O", "O", "O", "O", "O", "O"], "fractional_positions": [[0.000, 0.000, 0.000], [0.000, 0.500, 0.253], [0.000, 0.500, 0.747], [0.500, 0.000, 0.253], [0.500, 0.000, 0.747], [0.500, 0.500, 0.000], [0.000, 0.000, 0.500], [0.500, 0.500, 0.500], [0.000, 0.000, 0.248], [0.000, 0.000, 0.752], [0.000, 0.500, 0.000], [0.000, 0.500, 0.500], [0.500, 0.000, 0.000], [0.500, 0.000, 0.500], [0.500, 0.500, 0.248], [0.500, 0.500, 0.752]]}

=====

Relative to the most stable structure, the computed energies are #A 0.0; #B 5.3, all in kJ/mol of atoms.